Crystalline CrCo2AgF8 at its relaxed geometry. Source: Alexandria, functional GGA+U.

Cell lengths 4.853, 4.883, 6.731 Å; angles 85.27, 85.29, 86.79 degrees
Space group P-1 (No. 2)
Inequivalent atoms, fractional coordinates:
Cr: 0.000 0.000 0.000 (multiplicity 1)
Co: 0.478 0.478 0.742 (multiplicity 2)
Ag: 0.000 0.000 0.500 (multiplicity 1)
F: 0.200 0.786 0.206 (multiplicity 2)
F: 0.227 0.810 0.795 (multiplicity 2)
F: 0.276 0.286 0.980 (multiplicity 2)
F: 0.323 0.336 0.495 (multiplicity 2)

The volume is 13.19 Å³ per atom. As for the energy: -0.359 Ry/atom. Its density is 4.51 g/cm3.